Entry 1:
Fe2ReHg: optimized geometry, PBE-GGA.

## Properties
Total moment: 3.82 μB/cell
DFT total energy: -6.4741 eV per atom

a b c (Å): 6.7885 6.7885 5.4955
angles (deg): 90.00 90.00 90.00
Last column: nearest neighbours and their distance in Å.
Space group I-42d (No. 122)
One atom of each set of equivalent atoms:
Fe  0.2013  0.7500  0.1250 x8  2 Re 2.28
Re  0.0000  0.0000  0.0000 x4  4 Fe 2.28
Hg  0.0000  0.0000  0.5000 x4  8 Fe 2.73-3.00, 2 Re 2.75

---

Entry 2:
FeReHg4: optimized geometry, PBE-GGA.

## Properties
Total moment: 20.69 μB/cell
DFT total energy: -2.4738 eV per atom

a b c (Å): 7.9063 7.9063 7.9063
angles (deg): 90.00 90.00 90.00
Last column: nearest neighbours and their distance in Å.
Space group F-43m (No. 216)
One atom of each set of equivalent atoms:
Fe  0.0000  0.0000  0.0000 x4  12 Hg 3.28, 4 Re 3.42
Re  0.2500  0.2500  0.2500 x4  12 Hg 3.28, 4 Fe 3.42
Hg  0.1250  0.1250  0.6250 x16  6 Hg 2.80

---

Entry 3:
Fe2ReHg: optimized geometry, PBE-GGA.

## Properties
Total moment: 13.63 μB/cell
DFT total energy: -6.9963 eV per atom

a b c (Å): 2.8137 2.8137 26.4360
angles (deg): 90.00 90.00 120.00
Last column: nearest neighbours and their distance in Å.
Space group R-3m (No. 166, hexagonal axes)
One atom of each set of equivalent atoms:
Fe  0.0000  0.0000  0.2434 x6  3 Re 2.60, 6 Fe 2.81, 3 Hg 2.88
Re  0.0000  0.0000  0.5000 x3  6 Fe 2.60, 6 Re 2.81
Hg  0.0000  0.0000  0.0000 x3  6 Hg 2.81, 6 Fe 2.88

---

Entry 4:
FeRe3Hg: optimized geometry, PBE-GGA.

## Properties
Total moment: 0.56 μB/cell
DFT total energy: -7.5979 eV per atom

a b c (Å): 4.4588 4.4588 4.4588
angles (deg): 90.00 90.00 90.00
Last column: nearest neighbours and their distance in Å.
Space group Pm-3m (No. 221)
One atom of each set of equivalent atoms:
Fe  0.0000  0.0000  0.0000 x1  6 Re 2.23
Re  0.0000  0.0000  0.5000 x3  2 Fe 2.23
Hg  0.5000  0.5000  0.5000 x1  12 Re 3.15

---

Entry 5:
Fe2ReHg: optimized geometry, PBE-GGA.

## Properties
Total moment: 10.15 μB/cell
DFT total energy: -6.8887 eV per atom

a b c (Å): 5.6582 7.6019 2.7380
angles (deg): 90.00 90.00 90.00
Last column: nearest neighbours and their distance in Å.
Space group Cmmm (No. 65)
One atom of each set of equivalent atoms:
Fe  0.2500  0.2500  0.0000 x4  4 Hg 2.74, 4 Re 2.74, 4 Fe 2.74-2.83
Re  0.0000  0.0000  0.5000 x2  8 Fe 2.74, 2 Re 2.74, 2 Hg 2.83
Hg  0.0000  0.5000  0.5000 x2  8 Fe 2.74, 2 Hg 2.74, 2 Re 2.83

---

Entry 6:
Fe2ReHg: optimized geometry, PBE-GGA.

## Properties
Total moment: 9.66 μB/cell
DFT total energy: -6.8825 eV per atom

a b c (Å): 2.8800 4.4861 9.0699
angles (deg): 90.00 90.00 90.00
Last column: nearest neighbours and their distance in Å.
Space group Imm2 (No. 44)
One atom of each set of equivalent atoms:
Fe  0.0000  0.0000  0.0000 x2  2 Fe 2.44, 4 Re 2.69
Fe  0.0000  0.5000  0.2825 x2  2 Fe 2.44, 2 Re 2.62, 4 Hg 2.67
Re  0.0000  0.0000  0.5414 x2  6 Fe 2.62-2.69, 2 Re 2.88, 2 Hg 2.92
Hg  0.0000  0.5000  0.7612 x2  6 Fe 2.67-2.77, 2 Hg 2.88, 2 Re 2.92

---

Entry 7:
FeReHg2: optimized geometry, PBE-GGA.

## Properties
Total moment: 5.60 μB/cell
DFT total energy: -4.5965 eV per atom

a b c (Å): 3.1555 4.6595 9.4677
angles (deg): 90.00 90.00 90.00
Last column: nearest neighbours and their distance in Å.
Space group Cmmm (No. 65)
One atom of each set of equivalent atoms:
Fe  0.0000  0.0000  0.0000 x2  4 Hg 2.76, 4 Fe 2.81
Re  0.0000  0.0000  0.5000 x2  4 Re 2.81, 4 Hg 2.93
Hg  0.0000  0.5000  0.2390 x4  2 Fe 2.76, 4 Hg 2.81, 2 Re 2.93

---

Entry 8:
Fe2ReHg: optimized geometry, PBE-GGA.

## Properties
Total moment: 9.12 μB/cell
DFT total energy: -6.8135 eV per atom

a b c (Å): 4.0048 4.0048 7.2492
angles (deg): 90.00 90.00 90.00
Last column: nearest neighbours and their distance in Å.
Space group I4/mmm (No. 139)
One atom of each set of equivalent atoms:
Fe  0.0000  0.5000  0.2500 x4  4 Hg 2.70, 4 Re 2.70, 4 Fe 2.83
Re  0.0000  0.0000  0.0000 x2  8 Fe 2.70, 4 Hg 2.83
Hg  0.0000  0.0000  0.5000 x2  8 Fe 2.70, 4 Re 2.83

---

Entry 9:
Fe2ReHg: optimized geometry, PBE-GGA.

## Properties
Total moment: 8.18 μB/cell
DFT total energy: -6.7852 eV per atom

a b c (Å): 3.8494 3.8494 7.8281
angles (deg): 90.00 90.00 90.00
Last column: nearest neighbours and their distance in Å.
Space group I-4m2 (No. 119)
One atom of each set of equivalent atoms:
Fe  0.0000  0.0000  0.0000 x2  4 Re 2.72, 4 Hg 2.74, 4 Fe 2.74
Fe  0.0000  0.5000  0.2500 x2  4 Hg 2.72, 4 Fe 2.74, 4 Re 2.74
Re  0.0000  0.0000  0.5000 x2  8 Fe 2.72-2.74, 4 Hg 2.74
Hg  0.0000  0.5000  0.7500 x2  8 Fe 2.72-2.74, 4 Re 2.74

---

Entry 10:
Fe2ReHg: optimized geometry, PBE-GGA.

## Properties
Total moment: 14.95 μB/cell
DFT total energy: -6.9593 eV per atom

a b c (Å): 2.8257 2.8257 26.3264
angles (deg): 90.00 90.00 120.00
Last column: nearest neighbours and their distance in Å.
Space group R3m (No. 160, hexagonal axes)
One atom of each set of equivalent atoms:
Fe  0.0000  0.0000  0.0000 x3  3 Fe 2.47, 3 Re 2.56
Fe  0.0000  0.0000  0.2627 x3  3 Fe 2.47
Re  0.0000  0.0000  0.7414 x3  3 Fe 2.56, 6 Re 2.83
Hg  0.0000  0.0000  0.5058 x3  6 Hg 2.83, 3 Fe 2.88, 3 Re 3.05

---

Entry 11:
Fe2ReHg2: optimized geometry, PBE-GGA.

## Properties
Total moment: 13.06 μB/cell
DFT total energy: -5.0018 eV per atom

a b c (Å): 3.2238 3.2238 16.6490
angles (deg): 90.00 90.00 90.00
Last column: nearest neighbours and their distance in Å.
Space group I4/mmm (No. 139)
One atom of each set of equivalent atoms:
Fe  0.0000  0.5000  0.2500 x4  4 Fe 2.28
Re  0.0000  0.0000  0.0000 x2  8 Hg 2.94, 4 Re 3.22
Hg  0.0000  0.0000  0.3888 x4  4 Fe 2.82, 4 Re 2.94

---

Entry 12:
FeReHg2: optimized geometry, PBE-GGA.

## Properties
Total moment: 5.55 μB/cell
DFT total energy: -4.5329 eV per atom

a b c (Å): 3.0262 4.7846 9.5192
angles (deg): 90.00 90.00 90.00
Last column: nearest neighbours and their distance in Å.
Space group Immm (No. 71)
One atom of each set of equivalent atoms:
Fe  0.0000  0.0000  0.0000 x2  4 Hg 2.72, 4 Re 2.83, 2 Fe 3.03
Re  0.0000  0.0000  0.5000 x2  4 Fe 2.83, 4 Hg 2.93, 2 Re 3.03
Hg  0.0000  0.5000  0.2631 x4  2 Fe 2.72, 6 Hg 2.84-3.03, 2 Re 2.93

---

no.,D(E_F) (states/eV per atom),formation enthalpy at 0 K (meV per atom)
1,0.3866,945
2,0.5578,1213
3,0.9807,422
4,1.2398,1624
5,1.2043,530
6,0.9405,536
7,0.7798,782
8,1.2623,605
9,0.9651,634
10,0.8175,460
11,0.8678,994
12,0.5482,846